A plane-wave DFT calculation with PBE was carried out for a geometry-optimized MgInBiBr6 structure.

```
MgInBiBr6
1.0
-6.597 -2.476 -1.698
2.336 -0.314 6.854
-5.571 13.130 2.501
Mg In Bi Br
2 2 2 12
Direct
0.333 0.667 0.250 Mg
0.667 0.333 0.750 Mg
0.000 0.000 0.000 In
0.000 0.000 0.500 In
0.667 0.333 0.250 Bi
0.333 0.667 0.750 Bi
0.622 0.642 0.139 Br
0.019 0.378 0.139 Br
0.378 0.019 0.639 Br
0.981 0.622 0.861 Br
0.358 0.378 0.361 Br
0.019 0.642 0.361 Br
0.642 0.019 0.861 Br
0.622 0.981 0.361 Br
0.981 0.358 0.639 Br
0.358 0.981 0.139 Br
0.642 0.622 0.639 Br
0.378 0.358 0.861 Br
```

Properties
Its uncorrected formation energy is -0.9688 eV per atom.

=====

A plane-wave DFT calculation with PBE was carried out for a geometry-optimized InBi2BrN structure.

```
InBi2BrN
1.0
5.791 0.000 0.000
0.000 5.281 0.000
0.000 0.000 5.791
N Bi Br In
1 2 1 1
Direct
0.500 0.500 0.500 N
0.000 0.000 0.500 Bi
0.500 0.000 0.000 Bi
0.000 0.500 0.000 Br
0.000 0.000 0.000 In
```

Properties
Its uncorrected formation energy is 1.5996 eV per atom.

=====

A plane-wave DFT calculation with PBE was carried out for a geometry-optimized Na2InBiBr6 structure.

```
Na2InBiBr6
1.0
-1.184 -7.176 2.347
4.763 -3.209 5.043
-2.772 -1.090 7.718
Na In Bi Br
2 1 1 6
Direct
0.519 0.519 0.444 Na
0.005 0.005 0.985 Na
0.813 0.813 0.560 In
0.326 0.326 0.023 Bi
0.587 0.238 0.240 Br
0.238 0.934 0.240 Br
0.934 0.587 0.240 Br
0.379 0.720 0.761 Br
0.720 0.139 0.761 Br
0.140 0.379 0.761 Br
```

Properties
Its uncorrected formation energy is -1.0531 eV per atom.